# SnPWCl2

A relaxed SnPWCl2 crystal (PBEsol, Alexandria via LeMat-Bulk).

Summary:
Final energy, eV for the cell shown: -26.8
Formation energy without anion corrections, eV/atom: 0.222

Cell: 4.7057 4.7057 4.8165 Å, 90.00 90.00 90.00°
Closest atoms and distances in Å follow each position.
Fractional coordinates of all 5 atoms:
Sn 0.0000 0.0000 0.0000  4 P 3.33, 8 Cl 3.37
P 0.5000 0.5000 0.0000  2 W 2.41
W 0.5000 0.5000 0.5000  4 Cl 2.35, 2 P 2.41
Cl 0.0000 0.5000 0.5000  2 W 2.35
Cl 0.5000 0.0000 0.5000  2 W 2.35

=====

# LiPd2Pt

A relaxed LiPd2Pt crystal (PBEsol, Alexandria via LeMat-Bulk).

Summary:
Final energy, eV for the cell shown: -21.5
Energy of formation from the pure elements, eV/atom: -0.16

Cell: 4.3200 4.3200 4.3200 Å, 60.00 60.00 60.00°
Closest atoms and distances in Å follow each position.
Fractional coordinates of all 4 atoms:
Li 0.0000 0.0000 0.0000  8 Pd 2.65
Pd 0.2500 0.2500 0.2500  4 Li 2.65, 4 Pt 2.65
Pd 0.7500 0.7500 0.7500  4 Li 2.65, 4 Pt 2.65
Pt 0.5000 0.5000 0.5000  8 Pd 2.65

=====

# K2Cd3S4

A relaxed K2Cd3S4 crystal (PBEsol, Alexandria via LeMat-Bulk).

Summary:
Final energy, eV for the cell shown: -123.8
Formation energy without anion corrections, eV/atom: -0.841

Cell: 13.6915 10.1382 6.6218 Å, 90.00 90.00 90.00°
Closest atoms and distances in Å follow each position.
Fractional coordinates of all 36 atoms:
K 0.0000 0.0000 0.0000  6 S 3.12-3.33
K 0.0000 0.5000 0.0000  6 S 3.12-3.33
K 0.0322 0.2500 0.4821  6 S 3.25-3.33
K 0.4678 0.7500 0.9821  6 S 3.25-3.33
K 0.5000 0.0000 0.5000  6 S 3.12-3.33
K 0.5000 0.5000 0.5000  6 S 3.12-3.33
K 0.5322 0.2500 0.0179  6 S 3.25-3.33
K 0.9678 0.7500 0.5179  6 S 3.25-3.33
Cd 0.2025 0.7500 0.2184  4 S 2.48-2.63
Cd 0.2483 0.0921 0.1583  4 S 2.49-2.65
Cd 0.2483 0.4079 0.1583  4 S 2.49-2.65
Cd 0.2517 0.5921 0.6583  4 S 2.49-2.65
Cd 0.2517 0.9079 0.6583  4 S 2.49-2.65
Cd 0.2975 0.2500 0.7184  4 S 2.48-2.63
Cd 0.7025 0.7500 0.2816  4 S 2.48-2.63
Cd 0.7483 0.0921 0.3417  4 S 2.49-2.65
Cd 0.7483 0.4079 0.3417  4 S 2.49-2.65
Cd 0.7517 0.5921 0.8417  4 S 2.49-2.65
Cd 0.7517 0.9079 0.8417  4 S 2.49-2.65
Cd 0.7975 0.2500 0.7816  4 S 2.48-2.63
S 0.1334 0.5321 0.3794  3 Cd 2.49-2.63
S 0.1334 0.9679 0.3794  3 Cd 2.49-2.63
S 0.1415 0.2500 0.9269  3 Cd 2.54-2.65
S 0.1437 0.7500 0.8644  3 Cd 2.48-2.57
S 0.3563 0.2500 0.3644  3 Cd 2.48-2.57
S 0.3585 0.7500 0.4269  3 Cd 2.54-2.65
S 0.3666 0.0321 0.8794  3 Cd 2.49-2.63
S 0.3666 0.4679 0.8794  3 Cd 2.49-2.63
S 0.6334 0.5321 0.1206  3 Cd 2.49-2.63
S 0.6334 0.9679 0.1206  3 Cd 2.49-2.63
S 0.6415 0.2500 0.5731  3 Cd 2.54-2.65
S 0.6437 0.7500 0.6356  3 Cd 2.48-2.57
S 0.8563 0.2500 0.1356  3 Cd 2.48-2.57
S 0.8585 0.7500 0.0731  3 Cd 2.54-2.65
S 0.8666 0.0321 0.6206  3 Cd 2.49-2.63
S 0.8666 0.4679 0.6206  3 Cd 2.49-2.63

=====

# Sc2FeMo

A relaxed Sc2FeMo crystal (PBEsol, Alexandria via LeMat-Bulk).

Summary:
Final energy, eV for the cell shown: -33.1
Energy of formation from the pure elements, eV/atom: 0.22

Cell: 5.2642 5.2642 5.2642 Å, 146.32 126.96 64.32°
Closest atoms and distances in Å follow each position.
Fractional coordinates of all 4 atoms:
Sc 0.2189 0.2189 0.0000  2 Fe 2.48
Sc 0.7811 0.7811 0.0000  2 Fe 2.48
Fe 0.0000 0.5000 0.5000  4 Sc 2.48
Mo 0.5000 0.0000 0.5000  4 Fe 2.80, 8 Sc 2.93-3.05, 2 Mo 3.05

=====

# FeHg

A relaxed FeHg crystal (PBEsol, Alexandria via LeMat-Bulk).

Summary:
Final energy, eV for the cell shown: -17.3
Energy of formation from the pure elements, eV/atom: 0.44

Cell: 2.8893 3.7762 6.2803 Å, 90.00 90.00 90.00°
Closest atoms and distances in Å follow each position.
Fractional coordinates of all 4 atoms:
Fe 0.2500 0.2500 0.0308  4 Fe 2.41
Fe 0.7500 0.7500 0.9692  4 Fe 2.41
Hg 0.2500 0.7500 0.3472  4 Fe 2.74-2.78, 6 Hg 2.89-3.06
Hg 0.7500 0.2500 0.6528  4 Fe 2.74-2.78, 6 Hg 2.89-3.06

=====

# PrGdAl4

A relaxed PrGdAl4 crystal (PBEsol, Alexandria via LeMat-Bulk).

Summary:
Final energy, eV for the cell shown: -39.1
Energy of formation from the pure elements, eV/atom: -0.52

Cell: 5.5999 5.5999 5.5999 Å, 60.00 60.00 60.00°
Closest atoms and distances in Å follow each position.
Fractional coordinates of all 6 atoms:
Pr 0.0000 0.0000 0.0000  12 Al 3.28, 4 Gd 3.43
Gd 0.2500 0.2500 0.2500  12 Al 3.28, 4 Pr 3.43
Al 0.1255 0.6248 0.6248  6 Al 2.80
Al 0.6248 0.1255 0.6248  6 Al 2.80
Al 0.6248 0.6248 0.1255  6 Al 2.80
Al 0.6248 0.6248 0.6248  6 Al 2.80

=====

# CuAg3Hg

A relaxed CuAg3Hg crystal (PBEsol, Alexandria via LeMat-Bulk).

Summary:
Final energy, eV for the cell shown: -9.2
Energy of formation from the pure elements, eV/atom: 1.13

Cell: 5.0696 5.0696 5.0696 Å, 90.00 90.00 90.00°
Closest atoms and distances in Å follow each position.
Fractional coordinates of all 5 atoms:
Cu 0.0000 0.0000 0.0000  12 Ag 3.58
Ag 0.0000 0.5000 0.5000  2 Hg 2.53
Ag 0.5000 0.0000 0.5000  2 Hg 2.53
Ag 0.5000 0.5000 0.0000  2 Hg 2.53
Hg 0.5000 0.5000 0.5000  6 Ag 2.53

=====

# Sr7La

A relaxed Sr7La crystal (PBEsol, Alexandria via LeMat-Bulk).

Summary:
Final energy, eV for the cell shown: -17.5
Energy of formation from the pure elements, eV/atom: 0.10

Cell: 8.2131 8.2131 8.2131 Å, 60.00 60.00 60.00°
Closest atoms and distances in Å follow each position.
Fractional coordinates of all 8 atoms:
Sr 0.0000 0.0000 0.0000  12 Sr 4.11
Sr 0.0000 0.0000 0.5000  10 Sr 4.11, 2 La 4.11
Sr 0.0000 0.5000 0.0000  10 Sr 4.11, 2 La 4.11
Sr 0.0000 0.5000 0.5000  2 La 4.11, 10 Sr 4.11
Sr 0.5000 0.0000 0.0000  10 Sr 4.11, 2 La 4.11
Sr 0.5000 0.0000 0.5000  2 La 4.11, 10 Sr 4.11
Sr 0.5000 0.5000 0.0000  2 La 4.11, 10 Sr 4.11
La 0.5000 0.5000 0.5000  12 Sr 4.11

=====

no.,total moment (Bohr magnetons per cell)
1,0.00
2,0.00
3,0.00
4,0.00
5,5.19
6,7.55
7,0.00
8,0.90